## NiTeNO2 (PBE with a Hubbard U)

Data for a geometry-optimized NiTeNO2 structure.

total DFT energy (no corrections)	-21.97	eV/cell
density	6.10	g/cm3

Cell lengths 3.954, 3.954, 4.048 Å; angles 90.00, 90.00, 90.00 degrees
Fractional coordinates of all 5 atoms:
Ni (0.000, 0.000, 0.000)
Te (0.500, 0.500, 0.500)
N (0.500, 0.500, 0.000)
O (0.000, 0.500, 0.500)
O (0.500, 0.000, 0.500)